Li3MoO3 | Alexandria | PBE with a Hubbard U | relaxed; spin magnetization = 3.00 μB per formula unit; SG = P2_1/m, No. 11; calculated total energy = -0.207 hartree per atom
1.0
6.048 0.000 0.000
0.000 3.448 0.000
-2.968 0.000 7.671
Li Mo O
6 2 6
Cartesian
-0.746 0.862 2.305
0.805 2.586 0.152
-0.651 0.862 7.298
3.731 2.586 0.373
2.275 0.862 7.519
3.825 2.586 5.366
0.952 2.586 5.117
2.127 0.862 2.554
0.802 0.862 0.982
0.353 0.862 3.882
-0.665 2.586 6.511
3.745 0.862 1.160
2.727 2.586 3.789
2.278 2.586 6.689